# HfTh2Cd, optimized geometry, DFT PBE-GGA
data_HfTh2Cd
_cell_length_a 3.3346
_cell_length_b 3.3346
_cell_length_c 36.5735
_cell_angle_alpha 90.00
_cell_angle_beta 90.00
_cell_angle_gamma 120.00
_space_group_name_H-M_alt 'R -3 m'
_space_group_IT_number 166
_space_group_name_Hall '-R 3 2"'
loop_
_atom_site_label
_atom_site_type_symbol
_atom_site_fract_x
_atom_site_fract_y
_atom_site_fract_z
Hf1 Hf 0.0000 0.0000 0.0000
Th1 Th 0.0000 0.0000 0.4087
Cd1 Cd 0.0000 0.0000 0.5000
# - Raw total energy: -73.632 eV/cell
# - Offset from the most stable computed form: 260.6 meV/atom
# - Crystal system: trigonal


# Hf2ThCd, optimized geometry, DFT PBE-GGA
data_Hf2ThCd
_cell_length_a 3.3817
_cell_length_b 3.3817
_cell_length_c 8.5607
_cell_angle_alpha 90.00
_cell_angle_beta 90.00
_cell_angle_gamma 90.00
_space_group_name_H-M_alt 'P 4/m m m'
_space_group_IT_number 123
_space_group_name_Hall '-P 4 2'
loop_
_atom_site_label
_atom_site_type_symbol
_atom_site_fract_x
_atom_site_fract_y
_atom_site_fract_z
Hf1 Hf 0.0000 0.0000 0.2277
Th1 Th 0.5000 0.5000 0.5000
Cd1 Cd 0.5000 0.5000 0.0000
# - Raw total energy: -27.886 eV/cell
# - Offset from the most stable computed form: 3.5 meV/atom
# - Crystal system: tetragonal


# HfTh2Cd, optimized geometry, DFT PBE-GGA
data_HfTh2Cd
_cell_length_a 3.3626
_cell_length_b 3.3626
_cell_length_c 9.9008
_cell_angle_alpha 90.00
_cell_angle_beta 90.00
_cell_angle_gamma 90.00
_space_group_name_H-M_alt 'P 4/m m m'
_space_group_IT_number 123
_space_group_name_Hall '-P 4 2'
loop_
_atom_site_label
_atom_site_type_symbol
_atom_site_fract_x
_atom_site_fract_y
_atom_site_fract_z
Hf1 Hf 0.0000 0.0000 0.0000
Th1 Th 0.5000 0.5000 0.2425
Cd1 Cd 0.0000 0.0000 0.5000
# - Raw total energy: -25.587 eV/cell
# - Offset from the most stable computed form: 0.0 meV/atom
# - Crystal system: tetragonal


# HfTh2Cd, optimized geometry, DFT PBE-GGA
data_HfTh2Cd
_cell_length_a 5.6442
_cell_length_b 5.6442
_cell_length_c 3.5083
_cell_angle_alpha 90.00
_cell_angle_beta 90.00
_cell_angle_gamma 90.00
_space_group_name_H-M_alt 'P 4/m m m'
_space_group_IT_number 123
_space_group_name_Hall '-P 4 2'
loop_
_atom_site_label
_atom_site_type_symbol
_atom_site_fract_x
_atom_site_fract_y
_atom_site_fract_z
Hf1 Hf 0.0000 0.0000 0.0000
Th1 Th 0.0000 0.5000 0.5000
Cd1 Cd 0.5000 0.5000 0.0000
# - Raw total energy: -25.387 eV/cell
# - Offset from the most stable computed form: 50.0 meV/atom
# - Crystal system: tetragonal


# Hf2ThCd, optimized geometry, DFT PBE-GGA
data_Hf2ThCd
_cell_length_a 4.6697
_cell_length_b 4.6697
_cell_length_c 4.4496
_cell_angle_alpha 90.00
_cell_angle_beta 90.00
_cell_angle_gamma 90.00
_space_group_name_H-M_alt 'P 4/m m m'
_space_group_IT_number 123
_space_group_name_Hall '-P 4 2'
loop_
_atom_site_label
_atom_site_type_symbol
_atom_site_fract_x
_atom_site_fract_y
_atom_site_fract_z
Hf1 Hf 0.0000 0.5000 0.0000
Th1 Th 0.0000 0.0000 0.5000
Cd1 Cd 0.5000 0.5000 0.5000
# - Raw total energy: -27.901 eV/cell
# - Offset from the most stable computed form: 0.0 meV/atom
# - Crystal system: tetragonal


# Hf2ThCd, optimized geometry, DFT PBE-GGA
data_Hf2ThCd
_cell_length_a 3.1709
_cell_length_b 3.1709
_cell_length_c 34.2193
_cell_angle_alpha 90.00
_cell_angle_beta 90.00
_cell_angle_gamma 120.00
_space_group_name_H-M_alt 'R -3 m'
_space_group_IT_number 166
_space_group_name_Hall '-R 3 2"'
loop_
_atom_site_label
_atom_site_type_symbol
_atom_site_fract_x
_atom_site_fract_y
_atom_site_fract_z
Hf1 Hf 0.0000 0.0000 0.0916
Th1 Th 0.0000 0.0000 0.0000
Cd1 Cd 0.0000 0.0000 0.5000
# - Raw total energy: -80.493 eV/cell
# - Offset from the most stable computed form: 267.4 meV/atom
# - Crystal system: trigonal


# HfTh2Cd, optimized geometry, DFT PBE-GGA
data_HfTh2Cd
_cell_length_a 7.6336
_cell_length_b 7.6336
_cell_length_c 7.6336
_cell_angle_alpha 90.00
_cell_angle_beta 90.00
_cell_angle_gamma 90.00
_space_group_name_H-M_alt 'F m -3 m'
_space_group_IT_number 225
_space_group_name_Hall '-F 4 2 3'
loop_
_atom_site_label
_atom_site_type_symbol
_atom_site_fract_x
_atom_site_fract_y
_atom_site_fract_z
Hf1 Hf 0.0000 0.0000 0.0000
Th1 Th 0.2500 0.2500 0.2500
Cd1 Cd 0.0000 0.0000 0.5000
# - Raw total energy: -100.678 eV/cell
# - Offset from the most stable computed form: 104.3 meV/atom
# - Crystal system: cubic


# HfTiCd3, optimized geometry, DFT PBE-GGA
data_HfTiCd3
_cell_length_a 5.0633
_cell_length_b 5.0633
_cell_length_c 5.0633
_cell_angle_alpha 90.00
_cell_angle_beta 90.00
_cell_angle_gamma 90.00
_space_group_name_H-M_alt 'P m -3 m'
_space_group_IT_number 221
_space_group_name_Hall '-P 4 2 3'
loop_
_atom_site_label
_atom_site_type_symbol
_atom_site_fract_x
_atom_site_fract_y
_atom_site_fract_z
Hf1 Hf 0.0000 0.0000 0.0000
Ti1 Ti 0.5000 0.5000 0.5000
Cd1 Cd 0.0000 0.5000 0.5000
# - Raw total energy: -15.283 eV/cell
# - Offset from the most stable computed form: 0.0 meV/atom
# - Crystal system: cubic


> raw total energy of number 4 (HfTh2Cd)?

-25.387 eV/cell


What did the fourth record say?
# HfTh2Cd, optimized geometry, DFT PBE-GGA
data_HfTh2Cd
_cell_length_a 5.6442
_cell_length_b 5.6442
_cell_length_c 3.5083
_cell_angle_alpha 90.00
_cell_angle_beta 90.00
_cell_angle_gamma 90.00
_space_group_name_H-M_alt 'P 4/m m m'
_space_group_IT_number 123
_space_group_name_Hall '-P 4 2'
loop_
_atom_site_label
_atom_site_type_symbol
_atom_site_fract_x
_atom_site_fract_y
_atom_site_fract_z
Hf1 Hf 0.0000 0.0000 0.0000
Th1 Th 0.0000 0.5000 0.5000
Cd1 Cd 0.5000 0.5000 0.0000
# - Raw total energy: -25.387 eV/cell
# - Offset from the most stable computed form: 50.0 meV/atom
# - Crystal system: tetragonal